Record 1
Density functional theory data (GGA-PBE) for a geometry-optimized Zr2PaSe6 structure.

Unit cell a=5.1680 b=6.9863 c=7.9609 alpha=70.24 beta=71.06 gamma=68.29
Last column: nearest neighbours and their distance in Å.
Positions (direct):
Zr 0.1924 0.6929 0.9223  6 Se 2.66-2.82
Zr 0.8076 0.3071 0.0777  6 Se 2.66-2.82
Pa 0.0000 0.5000 0.5000  6 Se 2.77-2.99
Se 0.7344 0.6948 0.8364  3 Zr 2.66-2.71
Se 0.2656 0.3052 0.1636  3 Zr 2.66-2.71
Se 0.9637 0.8604 0.2121  2 Zr 2.67-2.82, 1 Pa 2.77
Se 0.3669 0.7037 0.5625  1 Zr 2.69, 2 Pa 2.99
Se 0.0363 0.1396 0.7879  2 Zr 2.67-2.82, 1 Pa 2.77
Se 0.6331 0.2963 0.4375  1 Zr 2.69, 2 Pa 2.99

Properties
theoretical density	6.021	g/cm3
calculated volume	27.19	A^3/atom
formation energy (no corrections)	-1.21	eV per atom
total magnetic moment	0.017	μB per atom

Record 2
Density functional theory data (GGA-PBE) for a geometry-optimized TbSm2Co2 structure.

Unit cell a=3.8648 b=6.5637 c=9.7115 alpha=83.16 beta=78.52 gamma=72.88
Last column: nearest neighbours and their distance in Å.
Positions (direct):
Tb 0.7843 0.0701 0.3613  4 Co 2.74-2.98
Tb 0.2157 0.9299 0.6387  4 Co 2.74-2.98
Sm 0.3354 0.2567 0.0725  2 Co 2.72
Sm 0.4658 0.3746 0.6938  6 Co 2.96-3.08
Sm 0.6646 0.7433 0.9275  2 Co 2.72
Sm 0.5342 0.6254 0.3062  6 Co 2.96-3.08
Co 0.9892 0.1261 0.8955  1 Co 2.46, 2 Sm 2.72
Co 0.1047 0.3344 0.4563  1 Co 2.29
Co 0.0108 0.8739 0.1045  1 Co 2.46, 2 Sm 2.72
Co 0.8953 0.6656 0.5437  1 Co 2.29

Properties
theoretical density	8.330	g/cm3
calculated volume	23.02	A^3/atom
formation energy from the elements	-0.08	eV/atom
total magnetic moment	0.000	μB per atom

Record 3
Density functional theory data (GGA-PBE) for a geometry-optimized PaCd2GaO6 structure.

Unit cell a=4.6025 b=5.6514 c=5.6514 alpha=90.00 beta=90.00 gamma=90.00
Last column: nearest neighbours and their distance in Å.
Positions (direct):
Pa 0.6331 0.5000 0.5000  5 O 2.13-2.19
Cd 0.0074 0.5000 0.0000  4 O 2.42
Cd 0.0074 0.0000 0.5000  4 O 2.42
Ga 0.5985 0.0000 0.0000  5 O 1.85-1.97
O 0.7116 0.2376 0.2376  1 Ga 1.97, 1 Pa 2.13
O 0.7116 0.2376 0.7624  1 Ga 1.97, 1 Pa 2.13
O 0.1567 0.5000 0.5000  2 Pa 2.19-2.41
O 0.1975 0.0000 0.0000  1 Ga 1.85
O 0.7116 0.7624 0.7624  1 Ga 1.97, 1 Pa 2.13
O 0.7116 0.7624 0.2376  1 Ga 1.97, 1 Pa 2.13

Properties
theoretical density	7.022	g/cm3
calculated volume	14.70	A^3/atom
formation energy (no corrections)	-1.86	eV per atom
total magnetic moment	0.005	μB per atom

Record 4
Density functional theory data (GGA-PBE) for a geometry-optimized RbLaBiMo2 structure.

Unit cell a=4.9666 b=5.9036 c=4.9666 alpha=90.00 beta=90.00 gamma=90.00
Last column: nearest neighbours and their distance in Å.
Positions (direct):
Mo 0.0000 0.0000 0.5000  2 La 2.48
Mo 0.5000 0.0000 0.0000  2 La 2.48
Bi 0.5000 0.5000 0.5000  4 Rb 3.51, 8 Mo 3.86
Rb 0.0000 0.5000 0.0000  2 La 2.95
La 0.0000 0.0000 0.0000  4 Mo 2.48

Properties
theoretical density	7.129	g/cm3
calculated volume	29.13	A^3/atom
formation energy from the elements	1.71	eV/atom
total magnetic moment	0.092	μB per atom

Record 5
Density functional theory data (GGA-PBE) for a geometry-optimized BaAuC2O6 structure.

Unit cell a=5.3152 b=5.3152 c=6.8236 alpha=67.08 beta=67.08 gamma=60.00
Last column: nearest neighbours and their distance in Å.
Positions (direct):
Ba 0.0000 0.0000 0.0000  6 O 2.72
Au 0.5000 0.5000 0.5000  6 O 2.40
C 0.7603 0.7603 0.7190  3 O 1.30
C 0.2397 0.2397 0.2810  3 O 1.30
O 0.0137 0.5266 0.7242  1 C 1.30
O 0.7355 0.0137 0.7242  1 C 1.30
O 0.4734 0.2645 0.2758  1 C 1.30
O 0.9863 0.4734 0.2758  1 C 1.30
O 0.2645 0.9863 0.2758  1 C 1.30
O 0.5266 0.7355 0.7242  1 C 1.30

Properties
theoretical density	5.059	g/cm3
calculated volume	14.91	A^3/atom
formation energy (no corrections)	-1.37	eV per atom
total magnetic moment	0.105	μB per atom

Record 6
Density functional theory data (GGA-PBE) for a geometry-optimized SrSF3 structure.

Unit cell a=4.4721 b=4.4721 c=4.4721 alpha=90.00 beta=90.00 gamma=90.00
Last column: nearest neighbours and their distance in Å.
Positions (direct):
Sr 0.5000 0.5000 0.5000  12 F 3.16
S 0.0000 0.0000 0.0000  6 F 2.24
F 0.0000 0.5000 0.0000  2 S 2.24
F 0.0000 0.0000 0.5000  2 S 2.24
F 0.5000 0.0000 0.0000  2 S 2.24

Properties
theoretical density	3.280	g/cm3
calculated volume	17.89	A^3/atom
formation energy (no corrections)	-1.64	eV per atom
total magnetic moment	0.000	μB per atom

Record 7
Density functional theory data (GGA-PBE) for a geometry-optimized Ba2MgBe structure.

Unit cell a=4.4218 b=4.4218 c=10.3671 alpha=80.00 beta=80.00 gamma=55.02
Last column: nearest neighbours and their distance in Å.
Positions (direct):
Be 0.7500 0.7500 0.7500  6 Ba 3.27-3.30
Mg 0.2500 0.2500 0.2500  6 Ba 3.84-3.87, 2 Mg 4.08
Ba 0.0102 0.0102 0.9605  3 Be 3.27-3.30
Ba 0.4898 0.4898 0.5395  3 Be 3.27-3.30

Properties
theoretical density	3.140	g/cm3
calculated volume	40.72	A^3/atom
formation energy from the elements	0.49	eV/atom
total magnetic moment	0.000	μB per atom

Record 8
Density functional theory data (GGA-PBE) for a geometry-optimized SiSn3P structure.

Unit cell a=5.2001 b=5.2001 c=5.2001 alpha=90.00 beta=90.00 gamma=90.00
Last column: nearest neighbours and their distance in Å.
Positions (direct):
P 0.0000 0.0000 0.0000  6 Sn 2.60
Si 0.5000 0.5000 0.5000  12 Sn 3.68
Sn 0.0000 0.5000 0.0000  2 P 2.60
Sn 0.0000 0.0000 0.5000  2 P 2.60
Sn 0.5000 0.0000 0.0000  2 P 2.60

Properties
theoretical density	4.903	g/cm3
calculated volume	28.12	A^3/atom
formation energy (no corrections)	0.70	eV per atom
total magnetic moment	0.000	μB per atom

Record 9
Density functional theory data (GGA-PBE) for a geometry-optimized OsPbAu structure.

Unit cell a=4.5256 b=4.5256 c=4.5256 alpha=60.00 beta=60.00 gamma=60.00
Last column: nearest neighbours and their distance in Å.
Positions (direct):
Au 0.5000 0.5000 0.5000  4 Os 2.77
Os 0.2500 0.2500 0.2500  4 Au 2.77, 4 Pb 2.77
Pb 0.0000 0.0000 0.0000  4 Os 2.77

Properties
theoretical density	15.059	g/cm3
calculated volume	21.85	A^3/atom
formation energy from the elements	0.78	eV/atom
total magnetic moment	0.000	μB per atom

Record 10
Density functional theory data (GGA-PBE) for a geometry-optimized NaTi2O structure.

Unit cell a=3.1648 b=3.1648 c=8.3215 alpha=79.04 beta=79.04 gamma=60.00
Last column: nearest neighbours and their distance in Å.
Positions (direct):
Na 0.0000 0.0000 0.0000  2 Ti 3.07, 6 Na 3.16
O 0.5000 0.5000 0.5000  6 Ti 2.08
Ti 0.1261 0.1261 0.6218  3 O 2.08
Ti 0.8739 0.8739 0.3782  3 O 2.08

Properties
theoretical density	3.177	g/cm3
calculated volume	17.61	A^3/atom
formation energy (no corrections)	-0.89	eV per atom
total magnetic moment	0.000	μB per atom

Record 11
Density functional theory data (GGA-PBE) for a geometry-optimized RbBa2Br2 structure.

Unit cell a=5.8485 b=5.8485 c=8.9131 alpha=70.85 beta=70.85 gamma=90.00
Last column: nearest neighbours and their distance in Å.
Positions (direct):
Br 0.7500 0.2500 0.5000  4 Ba 3.35
Br 0.2500 0.7500 0.5000  4 Ba 3.35
Ba 0.3540 0.3540 0.2921  4 Br 3.35
Ba 0.6460 0.6460 0.7079  4 Br 3.35
Rb 0.0000 0.0000 0.0000  8 Ba 4.73, 8 Br 4.91

Properties
theoretical density	3.197	g/cm3
calculated volume	54.01	A^3/atom
formation energy (no corrections)	-1.19	eV per atom
total magnetic moment	0.101	μB per atom

Record 12
Density functional theory data (GGA-PBE) for a geometry-optimized Ce3Tl3CdS8 structure.

Unit cell a=8.1485 b=8.1482 c=8.8383 alpha=117.41 beta=90.00 gamma=120.02
Last column: nearest neighbours and their distance in Å.
Positions (direct):
Ce 0.5000 0.0000 0.5000  6 S 2.76-2.80
Ce 0.5000 0.5000 0.5000  6 S 2.76-2.80
Ce 0.0000 0.5000 0.5000  6 S 2.76-2.80
Tl 0.0000 0.0000 0.0000  6 S 3.24-3.28
Tl 0.0000 0.5000 0.0000  6 S 3.24-3.28
Tl 0.5000 0.5000 0.0000  6 S 3.24-3.28
Cd 0.0000 0.0000 0.5000  6 S 2.80-2.81
S 0.2660 0.5318 0.2978  3 Ce 2.80
S 0.7340 0.4682 0.7022  3 Ce 2.80
S 0.7659 0.5317 0.3035  2 Ce 2.76, 1 Cd 2.80
S 0.2341 0.4683 0.6965  2 Ce 2.76, 1 Cd 2.80
S 0.7652 0.0378 0.3030  2 Ce 2.76, 1 Cd 2.81
S 0.2348 0.9622 0.6970  2 Ce 2.76, 1 Cd 2.81
S 0.2721 0.0377 0.3034  2 Ce 2.76, 1 Cd 2.80
S 0.7279 0.9623 0.6966  2 Ce 2.76, 1 Cd 2.80

Properties
theoretical density	5.411	g/cm3
calculated volume	28.69	A^3/atom
formation energy (no corrections)	-1.23	eV per atom
total magnetic moment	0.075	μB per atom